# 1
RbLiTc2O6: optimized geometry, PBE.

Cell: 7.5776 7.5776 5.5600 Å, 90.06 90.06 115.06°
With the nearest neighbours (Å) after each atom.
Fractional coordinates of all 20 atoms:
O 0.6086 0.3924 0.9744  1 Li 1.92, 2 Tc 1.98-1.99
Tc 0.7745 0.5995 0.7494  3 O 1.76-1.93
Li 0.6981 0.3019 0.2500  4 O 1.92-2.02
O 0.0102 0.6091 0.7500  1 Tc 1.76
Tc 0.4005 0.2255 0.7506  3 O 1.76-1.93
O 0.2223 0.2230 0.5013  2 Tc 1.93
O 0.6091 0.0102 0.2500  1 Tc 1.76
Tc 0.2255 0.4005 0.2506  3 O 1.76-1.93
O 0.3909 0.9898 0.7500  1 Tc 1.76
Li 0.3019 0.6981 0.7500  4 O 1.92-2.02
O 0.3924 0.6086 0.4744  1 Li 1.92, 2 Tc 1.98-1.99
O 0.9898 0.3909 0.2500  1 Tc 1.76
O 0.7770 0.7777 0.9987  2 Tc 1.93
O 0.7777 0.7770 0.4987  2 Tc 1.93
O 0.3914 0.6076 0.0256  1 Li 1.92, 2 Tc 1.98-1.99
Rb 0.1433 0.8567 0.2500  10 O 2.92-3.27
Rb 0.8567 0.1433 0.7500  10 O 2.92-3.27
O 0.2230 0.2223 0.0013  2 Tc 1.93
O 0.6076 0.3914 0.5256  1 Li 1.92, 2 Tc 1.98-1.99
Tc 0.5995 0.7745 0.2494  3 O 1.76-1.93

Calculated values
Raw total energy   -137.97 eV/cell
Energy relative to the elements, uncorrected   -15.62 eV per formula unit
Magnetization   0.0 μB per cell

***

# 2
Rb2LiTc2O8: optimized geometry, PBE.

Cell: 7.8854 7.8854 5.6597 Å, 69.64 69.64 115.16°
With the nearest neighbours (Å) after each atom.
Fractional coordinates of all 13 atoms:
Rb 0.6238 0.3762 0.5000  8 O 3.04-3.16
O 0.8554 0.7623 0.8068  1 Tc 1.77
O 0.3145 0.9126 0.6095  1 Tc 1.75
O 0.9277 0.2929 0.1377  1 Tc 1.79
Rb 0.3740 0.6260 0.0000  8 O 2.89-3.10
Tc 0.8840 0.1160 0.0000  4 O 1.77-1.79
Tc 0.1270 0.8730 0.5000  4 O 1.75-1.77
O 0.0874 0.6855 0.3905  1 Tc 1.75
O 0.7518 0.8455 0.3336  1 Tc 1.77
Li 0.9155 0.0845 0.5000  4 O 2.07-2.24
O 0.7071 0.0723 0.8623  1 Tc 1.79
O 0.1545 0.2482 0.6664  1 Tc 1.77
O 0.2377 0.1446 0.1932  1 Tc 1.77

Calculated values
Raw total energy   -85.74 eV/cell
Energy relative to the elements, uncorrected   -21.49 eV per formula unit
Magnetization   1.1 μB per cell

***

# 3
Rb2Li2TcO6: optimized geometry, PBE.

Cell: 5.4066 5.4066 6.9635 Å, 102.63 102.63 111.56°
With the nearest neighbours (Å) after each atom.
Fractional coordinates of all 11 atoms:
O 0.9793 0.6766 0.3144  1 Tc 1.88
Rb 0.8177 0.1823 0.0000  6 O 2.75-2.95
Li 0.3371 0.6629 0.5000  4 O 2.08-2.12
O 0.0207 0.3234 0.6856  1 Tc 1.88
Rb 0.1823 0.8177 0.0000  6 O 2.75-2.95
O 0.6766 0.9793 0.3144  1 Tc 1.88
O 0.2371 0.2371 0.3770  1 Tc 1.94, 2 Li 2.08
Tc 0.0000 0.0000 0.5000  6 O 1.88-1.94
O 0.3234 0.0207 0.6856  1 Tc 1.88
Li 0.6629 0.3371 0.5000  4 O 2.08-2.12
O 0.7629 0.7629 0.6230  1 Tc 1.94, 2 Li 2.08

Calculated values
Raw total energy   -61.21 eV/cell
Energy relative to the elements, uncorrected   -15.33 eV per formula unit
Magnetization   1.1 μB per cell

***

# 4
RbLiTcO4: optimized geometry, PBE.

Cell: 5.8901 5.8901 5.9405 Å, 119.72 119.72 90.00°
With the nearest neighbours (Å) after each atom.
Fractional coordinates of all 7 atoms:
O 0.8977 0.5351 0.2567  1 Tc 1.79, 1 Li 2.00
Rb 0.0000 0.0000 0.0000  4 O 2.96
O 0.3590 0.7215 0.2567  1 Tc 1.79, 1 Li 2.00
O 0.2785 0.1023 0.7433  1 Tc 1.79, 1 Li 2.00
Tc 0.2500 0.7500 0.5000  4 O 1.79
O 0.4649 0.6410 0.7433  1 Tc 1.79, 1 Li 2.00
Li 0.5000 0.5000 0.0000  4 O 2.00

Calculated values
Raw total energy   -44.72 eV/cell
Energy relative to the elements, uncorrected   -11.64 eV per formula unit
Magnetization   1.0 μB per cell

***

# 5
Rb2LiTc2O8: optimized geometry, PBE.

Cell: 5.7581 6.4675 7.8300 Å, 108.88 105.56 102.20°
With the nearest neighbours (Å) after each atom.
Fractional coordinates of all 13 atoms:
O 0.1588 0.2921 0.8854  1 Tc 1.75
O 0.8018 0.8451 0.6221  1 Tc 1.75
Rb 0.3562 0.5704 0.7050  6 O 2.86-3.14
O 0.1156 0.1373 0.3371  1 Tc 1.79
O 0.6934 0.1165 0.9373  1 Tc 1.77, 1 Li 1.96
O 0.8518 0.7062 0.0533  1 Tc 1.79
O 0.4148 0.9035 0.1475  1 Tc 1.79, 1 Li 1.92
O 0.2089 0.7106 0.3852  1 Tc 1.76
O 0.6902 0.2533 0.6166  1 Tc 1.75
Tc 0.8348 0.1286 0.7644  4 O 1.75-1.77
Li 0.7477 0.9898 0.1355  4 O 1.92-2.07
Rb 0.5682 0.4507 0.2481  5 O 2.86-3.12
Tc 0.1620 0.8648 0.2375  4 O 1.76-1.79

Calculated values
Raw total energy   -85.88 eV/cell
Energy relative to the elements, uncorrected   -21.64 eV per formula unit
Magnetization   1.1 μB per cell

***

# 6
RbLiTc2O8: optimized geometry, PBE.

Cell: 5.6524 6.6347 7.6371 Å, 63.53 68.28 64.79°
With the nearest neighbours (Å) after each atom.
Fractional coordinates of all 12 atoms:
Tc 0.6920 0.7793 0.8367  4 O 1.73-1.75
O 0.1342 0.0382 0.1953  1 Tc 1.75
Tc 0.3080 0.2207 0.1633  4 O 1.73-1.75
O 0.1494 0.3599 0.3412  1 Tc 1.74
O 0.6769 0.5700 0.0763  1 Tc 1.73
O 0.8506 0.6401 0.6588  1 Tc 1.74
Li 0.0000 0.0000 0.0000  4 O 2.05
O 0.3231 0.4300 0.9237  1 Tc 1.73
O 0.3677 0.9618 0.8047  1 Tc 1.75
Rb 0.5000 0.5000 0.5000  2 O 2.89
O 0.8658 0.9618 0.8047  1 Tc 1.75
O 0.6323 0.0382 0.1953  1 Tc 1.75

Calculated values
Raw total energy   -82.92 eV/cell
Energy relative to the elements, uncorrected   -19.64 eV per formula unit
Magnetization   0.0 μB per cell

***

# 7
RbLi2TcO4: optimized geometry, PBE.

Cell: 5.4782 5.4782 5.4782 Å, 119.26 119.26 91.29°
With the nearest neighbours (Å) after each atom.
Fractional coordinates of all 8 atoms:
O 0.6636 0.6636 0.6274  1 Tc 1.86
O 0.3364 0.9638 0.0000  1 Tc 1.86
Rb 0.5000 0.5000 0.0000  4 O 2.71
Tc 0.0000 0.0000 0.0000  4 O 1.86
O 0.0362 0.0362 0.3726  1 Tc 1.86
O 0.9638 0.3364 0.0000  1 Tc 1.86
Li 0.7500 0.2500 0.5000  4 O 2.16
Li 0.2500 0.7500 0.5000  4 O 2.16

Calculated values
Raw total energy   -47.88 eV/cell
Energy relative to the elements, uncorrected   -12.89 eV per formula unit
Magnetization   2.0 μB per cell

***

# 8
Rb2LiTeO4: optimized geometry, PBE.

Cell: 5.2717 6.8882 10.5889 Å, 84.53 75.59 67.50°
With the nearest neighbours (Å) after each atom.
Fractional coordinates of all 16 atoms:
O 0.2996 0.8239 0.0916  1 Te 1.94, 1 Li 1.99
O 0.1412 0.3239 0.4084  1 Te 1.94, 1 Li 1.99
O 0.6088 0.1761 0.0916  1 Te 1.94, 1 Li 1.99
O 0.5349 0.3239 0.5916  1 Te 1.94, 1 Li 1.99
O 0.2151 0.1761 0.9084  1 Te 1.94, 1 Li 1.99
Te 0.5000 0.0000 0.0000  4 O 1.94
Li 0.0000 0.0000 0.0000  4 O 1.99
Rb 0.9236 0.5000 0.1528  8 O 3.16-3.43
O 0.8765 0.8239 0.9084  1 Te 1.94, 1 Li 1.99
O 0.4504 0.6761 0.4084  1 Te 1.94, 1 Li 1.99
Rb 0.8264 0.0000 0.3472  8 O 3.16-3.43
Rb 0.1736 0.0000 0.6528  8 O 3.16-3.43
Rb 0.5764 0.5000 0.8472  8 O 3.16-3.43
Li 0.7500 0.5000 0.5000  4 O 1.99
O 0.8735 0.6761 0.5916  1 Te 1.94, 1 Li 1.99
Te 0.2500 0.5000 0.5000  4 O 1.94

Calculated values
Raw total energy   -74.75 eV/cell
Energy relative to the elements, uncorrected   -10.55 eV per formula unit
Magnetization   1.4 μB per cell

***

# 9
RbLiTeO4: optimized geometry, PBE.

Cell: 5.8934 5.8934 5.7327 Å, 120.93 120.93 90.00°
With the nearest neighbours (Å) after each atom.
Fractional coordinates of all 7 atoms:
O 0.4076 0.7530 0.2698  1 Te 1.85, 1 Li 1.97
O 0.2470 0.1378 0.7302  1 Te 1.85, 1 Li 1.97
Rb 0.0000 0.0000 0.0000  8 O 2.96-3.25
Te 0.5000 0.5000 0.0000  4 O 1.85
Li 0.2500 0.7500 0.5000  4 O 1.97
O 0.8622 0.5168 0.2698  1 Te 1.85, 1 Li 1.97
O 0.4832 0.5924 0.7302  1 Te 1.85, 1 Li 1.97

Calculated values
Raw total energy   -36.01 eV/cell
Energy relative to the elements, uncorrected   -10.16 eV per formula unit
Magnetization   0.0 μB per cell

***

# 10
Rb3LiTe2O6: optimized geometry, PBE.

Cell: 6.2549 6.2549 7.4748 Å, 90.00 90.00 120.00°
With the nearest neighbours (Å) after each atom.
Fractional coordinates of all 12 atoms:
Rb 0.6667 0.3333 0.3550  9 O 3.10-3.16, 1 Te 3.42
O 0.1772 0.3545 0.2981  1 Te 1.88
O 0.1772 0.8228 0.2981  1 Te 1.88
O 0.3545 0.1772 0.7019  1 Te 1.88
Te 0.3333 0.6667 0.1874  3 O 1.88
Rb 0.3333 0.6667 0.6450  9 O 3.10-3.16, 1 Te 3.42
O 0.8228 0.6455 0.7019  1 Te 1.88
Rb 0.0000 0.0000 0.0000  6 O 2.94
Te 0.6667 0.3333 0.8126  3 O 1.88
Li 0.0000 0.0000 0.5000  6 O 2.44
O 0.8228 0.1772 0.7019  1 Te 1.88
O 0.6455 0.8228 0.2981  1 Te 1.88

Calculated values
Raw total energy   -58.24 eV/cell
Energy relative to the elements, uncorrected   -17.40 eV per formula unit
Magnetization   0.0 μB per cell